[1]
Here is a relaxed SrLa2Pt crystal from Alexandria via LeMat-Bulk. Energies are from GGA-PBEsol.

Cell: 4.168 4.168 10.297 Å, 78.32 78.32 60.00°
Element x y z (fractional)
La (0.220, 0.220, 0.340)
La (0.780, 0.780, 0.660)
Sr (0.000, 0.000, 0.000)
Pt (0.500, 0.500, 0.500)

Calculated values
Energy above the lowest structure with this stoichiometry, kJ/mol of atoms: 0.00
Size of the total moment, μB/cell: 0.00
Crystal system: trigonal
Space-group type: R-3m (166)
DOS(E_F), states/eV/atom: 1.43
Calculated density, Mg/m³: 6.179

---

[2]
Here is a relaxed LaCoAg2 crystal from Alexandria via LeMat-Bulk. Energies are from GGA-PBEsol.

Cell: 3.344 3.344 6.742 Å, 90.00 90.00 90.00°
Element x y z (fractional)
Ag (0.000, 0.000, 0.947)
Ag (0.500, 0.500, 0.735)
Co (0.000, 0.000, 0.535)
La (0.500, 0.500, 0.283)

Calculated values
Size of the total moment, μB/cell: 0.66
Crystal system: tetragonal
Total energy, eV/cell: -19.11
Space-group type: P4mm (99)
DOS(E_F), states/eV/atom: 0.77
Calculated density, Mg/m³: 9.109

---

> Look up the size of the total moment of the first one.

0.00 μB/cell